A geometry-optimized CoPCl2F structure, computed with GGA-PBEsol.

abc: 4.2460 4.4373 4.4373
angles: 90.00 90.00 90.00
Last column: nearest neighbours and their distance in Å.
Positions (direct):
F1 0.5000 0.5000 0.5000  8 Cl 3.07, 4 P 3.14
Co1 0.0000 0.0000 0.0000  2 P 2.12, 4 Cl 2.22
Cl1 0.0000 0.0000 0.5000  2 Co 2.22
P1 0.5000 0.0000 0.0000  2 Co 2.12
Cl2 0.0000 0.5000 0.0000  2 Co 2.22

Calculated values
Energy relative to the elements, uncorrected = 9 kJ/mol of formula units
Space group = No. 123
Raw total energy = -3.877 eV/atom